1.
8
Lattice="7.000 0.000 0.000 0.000 4.003 0.000 -2.302 0.000 6.646" Properties=species:S:1:pos:R:3 comment="LiEr2USe4 | Alexandria | PBE | relaxed" spacegroup="No. 10" e_form_raw_mev_per_atom=-1491 total_energy_ev_per_atom=-6.024 pbc="T T T"
Li 0.000 0.000 0.000
Er 2.349 0.000 3.323
Er 3.500 2.002 0.000
U -1.151 2.002 3.323
Se 1.175 2.002 1.614
Se 0.011 0.000 5.045
Se 4.687 0.000 1.602
Se 3.524 2.002 5.032

2.
5
Lattice="7.060 0.000 0.000 0.000 7.060 0.000 0.000 0.000 6.172" Properties=species:S:1:pos:R:3 comment="K2RbBaCl | Alexandria | PBE | relaxed" spacegroup="No. 123" e_form_raw_mev_per_atom=-638 total_energy_ev_per_atom=-2.024 e_above_lowest_polymorph_ev_per_atom=0.000 pbc="T T T"
K 0.000 3.530 0.000
K 3.530 0.000 0.000
Rb 0.000 0.000 3.086
Ba 3.530 3.530 3.086
Cl 3.530 3.530 0.000

3.
9
Lattice="8.179 -1.678 0.000 8.179 1.678 0.000 -0.342 0.000 5.664" Properties=species:S:1:pos:R:3 comment="HoPu2Mo2C4 | Alexandria | PBE | relaxed" spacegroup="No. 12" total_energy_ev_per_atom=-10.135 pbc="T T T"
Ho 0.000 0.000 0.000
Pu 2.315 0.000 3.266
Pu 13.701 0.000 2.398
Mo 4.829 0.000 5.334
Mo 11.187 0.000 0.330
C 3.806 0.000 1.318
C 6.692 0.000 0.920
C 9.324 0.000 4.745
C 12.210 0.000 4.346

Please write out number 2 again, unchanged.
5
Lattice="7.060 0.000 0.000 0.000 7.060 0.000 0.000 0.000 6.172" Properties=species:S:1:pos:R:3 comment="K2RbBaCl | Alexandria | PBE | relaxed" spacegroup="No. 123" e_form_raw_mev_per_atom=-638 total_energy_ev_per_atom=-2.024 e_above_lowest_polymorph_ev_per_atom=0.000 pbc="T T T"
K 0.000 3.530 0.000
K 3.530 0.000 0.000
Rb 0.000 0.000 3.086
Ba 3.530 3.530 3.086
Cl 3.530 3.530 0.000